Here is MgPd2Rh after structural relaxation from Alexandria via LeMat-Bulk. Energies are from PBE.

```
MgPd2Rh
1.0
-1.8946 1.8946 9.2934
1.8946 -1.8946 9.2934
1.8946 1.8946 -9.2934
Mg Pd Rh
2 4 2
Cartesian
0.0000 0.0000 0.0000 Mg
0.0000 1.8946 4.6467 Mg
0.9473 -0.9330 6.9701 Pd
0.9615 0.9473 2.3234 Pd
0.9473 2.8276 -2.3234 Pd
0.9330 0.9473 11.6168 Pd
1.8946 0.0000 4.6467 Rh
0.0000 0.0000 9.2934 Rh
```

Output
The value obtained for the formation energy is 15 meV per atom. The calculation puts the volume at 133 Å³ per cell.



Here is PmSmYEr after structural relaxation from Alexandria via LeMat-Bulk. Energies are from PBE.

```
PmSmYEr
1.0
6.2505 -2.9736 0.0000
6.2505 2.9736 0.0000
-1.0950 0.0000 3.5410
Pm Sm Y Er
1 1 1 1
Cartesian
0.0000 0.0000 0.0000 Pm
5.8631 0.0000 1.8219 Sm
2.3982 0.0000 2.6775 Y
9.1757 0.0000 0.9032 Er
```

Output
The value obtained for the formation energy is 125 meV per atom. The calculation puts the volume at 132 Å³ per cell.



Here is Ag6TeSBr2 after structural relaxation from Alexandria via LeMat-Bulk. Energies are from PBE.

```
Ag6TeSBr2
1.0
6.0964 -3.6604 0.0000
6.0964 3.6604 0.0000
-3.8112 0.0000 5.6915
Ag Te S Br
6 1 1 2
Cartesian
2.5661 1.8568 3.6247 Ag
-0.3004 0.0000 4.7647 Ag
5.8155 1.8568 2.0668 Ag
2.5661 -1.8568 3.6247 Ag
8.6821 0.0000 0.9268 Ag
5.8155 -1.8568 2.0668 Ag
6.0964 0.0000 0.0000 Te
-1.9056 0.0000 2.8457 S
2.0175 0.0000 1.4551 Br
6.3642 0.0000 4.2364 Br
```

Output
As for the uncorrected formation energy: -1.0 eV/f.u. The calculation puts the volume at 254 Å³ per cell.



Here is YNiHg after structural relaxation from Alexandria via LeMat-Bulk. Energies are from PBE.

```
YNiHg
1.0
1.8747 -8.4148 0.0000
1.8747 8.4148 0.0000
0.0000 0.0000 3.9500
Y Ni Hg
2 2 2
Cartesian
1.8747 6.8010 2.9625 Y
1.8747 -6.8010 0.9875 Y
1.8747 0.6868 2.9625 Ni
1.8747 -0.6868 0.9875 Ni
1.8747 3.4103 2.9625 Hg
1.8747 -3.4103 0.9875 Hg
```

Output
The value obtained for the formation energy is -465 meV per atom. The calculation puts the volume at 125 Å³ per cell.



Here is YSnAs2 after structural relaxation from Alexandria via LeMat-Bulk. Energies are from PBE.

```
YSnAs2
1.0
-3.2191 3.2191 6.4443
3.2191 -3.2191 6.4443
3.2191 3.2191 -6.4443
Y Sn As
2 2 4
Cartesian
0.0000 0.0000 0.0000 Y
0.0000 3.2191 3.2222 Y
3.2191 0.0000 3.2222 Sn
0.0000 0.0000 6.4443 Sn
1.6095 -1.5623 4.8333 As
1.6567 1.6095 1.6111 As
1.6095 4.7814 -1.6111 As
1.5623 1.6095 8.0554 As
```

Output
The value obtained for the formation energy is -430 meV per atom. The calculation puts the volume at 267 Å³ per cell.



Here is La2CuGe3Pt12 after structural relaxation from Alexandria via LeMat-Bulk. Energies are from PBE.

```
La2CuGe3Pt12
1.0
4.1333 2.3864 6.2587
-4.1333 2.3864 6.2587
0.0000 -4.7728 6.2587
La Cu Ge Pt
2 1 3 12
Cartesian
0.0000 0.0000 2.3678 La
0.0000 0.0000 16.4082 La
0.0000 0.0000 9.3880 Cu
-2.0667 -1.1932 6.2587 Ge
-2.0667 1.1932 12.5173 Ge
0.0000 2.3864 6.2587 Ge
-2.0372 -1.1762 8.6590 Pt
0.0000 -2.3092 5.5355 Pt
-1.9998 1.1546 5.5355 Pt
0.0000 -2.3523 10.1170 Pt
-2.0372 1.1762 10.1170 Pt
-1.9998 -1.1546 13.2405 Pt
1.9998 1.1546 5.5355 Pt
2.0372 -1.1762 8.6590 Pt
0.0000 2.3523 8.6590 Pt
1.9998 -1.1546 13.2405 Pt
0.0000 2.3092 13.2405 Pt
2.0372 1.1762 10.1170 Pt
```

Output
The value obtained for the formation energy is -347 meV per atom. The calculation puts the volume at 370 Å³ per cell.



Here is AlV6W after structural relaxation from Alexandria via LeMat-Bulk. Energies are from PBE.

```
AlV6W
1.0
4.2510 0.0000 0.0000
0.0000 3.0542 4.3071
0.0000 -3.0542 4.3071
Al V W
1 6 1
Cartesian
0.0000 0.0000 0.0000 Al
0.0000 0.0000 4.3154 V
0.0000 -1.5064 6.4572 V
0.0000 1.5064 6.4572 V
2.1255 -1.4015 4.3059 V
2.1255 1.4015 4.3059 V
2.1255 0.0000 6.5219 V
2.1255 0.0000 2.0734 W
```

Output
The value obtained for the formation energy is -94 meV per atom. The calculation puts the volume at 112 Å³ per cell.



Here is As2PbWCl after structural relaxation from Alexandria via LeMat-Bulk. Energies are from PBE.

```
As2PbWCl
1.0
5.2294 0.0000 0.0000
0.0000 5.2294 0.0000
0.0000 0.0000 4.3803
As Pb W Cl
2 1 1 1
Cartesian
0.0000 2.6147 0.0000 As
2.6147 0.0000 0.0000 As
0.0000 0.0000 2.1902 Pb
2.6147 2.6147 2.1902 W
2.6147 2.6147 0.0000 Cl
```

Output
As for the uncorrected formation energy: 6.5 eV/f.u. The calculation puts the volume at 120 Å³ per cell.